Entry 1:
! ZrCu2Tc GGA-PBE optimized geometry; values from VASP
! Formation energy from the elements: 0.15 eV/atom
! Energy relative to the lowest polymorph listed for this composition: 18.3 kJ per mole of atoms
! VASP energy: -26.517 eV for the cell shown
! Crystal system: tetragonal
&SYSTEM
  ibrav = 0, nat = 4, ntyp = 3
/
ATOMIC_SPECIES
Cu 63.55 Cu.upf
Tc 98.00 Tc.upf
Zr 91.22 Zr.upf
ATOMIC_POSITIONS angstrom
Cu 1.395 1.395 1.853
Cu 0.000 0.000 0.261
Tc 0.000 0.000 3.616
Zr 1.395 1.395 5.929
CELL_PARAMETERS angstrom
2.790 0.000 0.000
0.000 2.790 0.000
0.000 0.000 7.773

=====

Entry 2:
! ZrCu2Tc GGA-PBE optimized geometry; values from VASP
! Formation energy from the elements: 0.06 eV/atom
! Energy relative to the lowest polymorph listed for this composition: 9.7 kJ per mole of atoms
! VASP energy: -26.877 eV for the cell shown
! Crystal system: orthorhombic
&SYSTEM
  ibrav = 0, nat = 4, ntyp = 3
/
ATOMIC_SPECIES
Tc 98.00 Tc.upf
Cu 63.55 Cu.upf
Zr 91.22 Zr.upf
ATOMIC_POSITIONS angstrom
Tc 2.368 0.035 1.421
Cu 0.000 0.000 0.000
Cu 1.527 2.218 -0.050
Zr -0.813 2.225 1.421
CELL_PARAMETERS angstrom
4.708 0.029 -0.050
-1.655 4.408 -0.050
0.029 0.042 2.892

=====

Entry 3:
! ZrCuTc GGA-PBE optimized geometry; values from VASP
! Formation energy from the elements: 0.10 eV/atom
! Energy relative to the lowest polymorph listed for this composition: 29.9 kJ per mole of atoms
! VASP energy: -22.697 eV for the cell shown
! Crystal system: trigonal
&SYSTEM
  ibrav = 0, nat = 3, ntyp = 3
/
ATOMIC_SPECIES
Tc 98.00 Tc.upf
Cu 63.55 Cu.upf
Zr 91.22 Zr.upf
ATOMIC_POSITIONS angstrom
Tc -1.019 -1.657 -2.007
Cu 0.015 -0.056 0.013
Zr 1.777 -1.809 -1.910
CELL_PARAMETERS angstrom
-3.810 -1.527 -2.099
3.909 0.493 -2.393
0.674 -2.489 0.588

=====

Q: Which of these has the highest VASP energy?
A: ZrCuTc